# CrS2O (GGA+U, relaxed)
# DFT total energy	-5.34	eV per atom
# magnetization	8.2	Bohr magnetons per cell
# density	3168	kg/m3
# density of states at the Fermi level	0.522	states/eV/atom
data_CrS2O
_symmetry_space_group_name_H-M 'R -3 m'
_symmetry_Int_Tables_number 166
_symmetry_space_group_name_Hall '-R 3 2"'
_cell_length_a 3.6719
_cell_length_b 3.6719
_cell_length_c 17.7939
_cell_angle_alpha 90.00
_cell_angle_beta 90.00
_cell_angle_gamma 120.00
loop_
_atom_site_label
_atom_site_type_symbol
_atom_site_fract_x
_atom_site_fract_y
_atom_site_fract_z
_atom_site_occupancy
Cr1 Cr 0.0000 0.0000 0.0000 1
S1 S 0.0000 0.0000 0.4009 1
O1 O 0.0000 0.0000 0.5000 1